(1)
# La5Mg4Cd, relaxed, DFT GGA-PBE
data_La5Mg4Cd
_symmetry_space_group_name_H-M 'P 1'
_symmetry_Int_Tables_number 1
_cell_length_a 3.964
_cell_length_b 3.964
_cell_length_c 19.729
_cell_angle_alpha 90.00
_cell_angle_beta 90.00
_cell_angle_gamma 90.00
loop_
_symmetry_equiv_pos_as_xyz
'x,y,z'
loop_
_atom_site_label
_atom_site_fract_x
_atom_site_fract_y
_atom_site_fract_z
La1 0.500 0.500 0.099
La2 0.500 0.500 0.299
La3 0.500 0.500 0.500
La4 0.500 0.500 0.701
La5 0.500 0.500 0.901
Mg1 0.000 0.000 0.200
Mg2 0.000 0.000 0.399
Mg3 0.000 0.000 0.601
Mg4 0.000 0.000 0.800
Cd1 0.000 0.000 0.000
# Formation energy from the elements: -0.16 eV/atom

***

(2)
# Hf2ZnCu3, relaxed, DFT GGA-PBE
data_Hf2ZnCu3
_symmetry_space_group_name_H-M 'P 1'
_symmetry_Int_Tables_number 1
_cell_length_a 5.136
_cell_length_b 5.136
_cell_length_c 8.089
_cell_angle_alpha 90.00
_cell_angle_beta 90.00
_cell_angle_gamma 120.00
loop_
_symmetry_equiv_pos_as_xyz
'x,y,z'
loop_
_atom_site_label
_atom_site_fract_x
_atom_site_fract_y
_atom_site_fract_z
Hf1 0.667 0.333 0.457
Hf2 0.333 0.667 0.543
Hf3 0.333 0.667 0.957
Hf4 0.667 0.333 0.043
Zn1 0.000 0.000 0.500
Zn2 0.000 0.000 0.000
Cu1 0.171 0.341 0.250
Cu2 0.341 0.171 0.750
Cu3 0.829 0.659 0.750
Cu4 0.171 0.829 0.250
Cu5 0.829 0.171 0.750
Cu6 0.659 0.829 0.250
# Formation energy from the elements: -0.13 eV/atom
# Energy above the lowest structure with this stoichiometry: 0.029 eV/atom

***

(3)
# SrEr2NpO8, relaxed, DFT GGA-PBE
data_SrEr2NpO8
_symmetry_space_group_name_H-M 'P 1'
_symmetry_Int_Tables_number 1
_cell_length_a 3.980
_cell_length_b 5.299
_cell_length_c 7.634
_cell_angle_alpha 90.00
_cell_angle_beta 90.00
_cell_angle_gamma 93.57
loop_
_symmetry_equiv_pos_as_xyz
'x,y,z'
loop_
_atom_site_label
_atom_site_fract_x
_atom_site_fract_y
_atom_site_fract_z
Sr1 0.000 0.000 0.500
Er1 0.500 0.500 0.761
Er2 0.500 0.500 0.239
Np1 0.000 0.000 0.000
O1 0.024 0.756 0.208
O2 0.535 0.769 0.000
O3 0.976 0.244 0.208
O4 0.976 0.244 0.792
O5 0.465 0.231 0.000
O6 0.024 0.756 0.792
O7 0.491 0.707 0.500
O8 0.509 0.293 0.500
# Formation energy from raw total energies: -34.87 eV/f.u.

***

Calculated values (eV for the cell shown) of electronic total energy for the records, taken in order: -33.5; -68.6; -98.3.